# LaY6Ho2

A relaxed structure of LaY6Ho2 (PBE, Alexandria via LeMat-Bulk).

abc: 15.621 3.582 10.737
angles: 90.00 103.22 90.00
Space group C2/m (No. 12)
Unique sites:
La (0.000, 0.000, 0.000) [2 per cell]
Y (0.001, 0.000, 0.336) [4 per cell]
Y (0.167, 0.500, 0.887) [4 per cell]
Y (0.168, 0.500, 0.557) [4 per cell]
Ho (0.168, 0.500, 0.224) [4 per cell]

total energy = -105.31 eV per cell
distance to the lowest polymorph of the same formula = 0 meV per atom
mass density = 5.69 g/cm3
DOS at the Fermi energy = 1.47 states/eV/atom
formation energy from the elements = 23.7 meV per atom



# OsF6

A relaxed structure of OsF6 (PBE, Alexandria via LeMat-Bulk).

abc: 9.780 8.891 5.156
angles: 90.00 90.00 90.00
Space group Pnma (No. 62)
Unique sites:
Os (0.127, 0.250, 0.089) [4 per cell]
F (0.015, 0.250, 0.796) [4 per cell]
F (0.018, 0.101, 0.240) [8 per cell]
F (0.237, 0.101, 0.938) [8 per cell]
F (0.240, 0.250, 0.383) [4 per cell]

total energy = -137.77 eV per cell
mass density = 4.51 g/cm3
DOS at the Fermi energy = 1.41 states/eV/atom
energy relative to the elements, uncorrected = -165.2 kJ per mole of atoms



# Mg2Tl

A relaxed structure of Mg2Tl (PBE, Alexandria via LeMat-Bulk).

abc: 9.925 5.551 5.276
angles: 90.00 90.00 90.00
Space group Cmcm (No. 63)
Unique sites:
Mg (0.167, 0.202, 0.250) [8 per cell]
Tl (0.000, 0.284, 0.750) [4 per cell]

total energy = -22.51 eV per cell
mass density = 5.78 g/cm3
DOS at the Fermi energy = 0.26 states/eV/atom
formation energy from the elements = -24.1 meV per atom



# FeRu2Pb

A relaxed structure of FeRu2Pb (PBE, Alexandria via LeMat-Bulk).

abc: 9.157 3.017 4.767
angles: 90.00 101.52 90.00
Space group Cm (No. 8)
Unique sites:
Fe (0.000, 0.000, 0.000) [2 per cell]
Ru (0.018, 0.500, 0.585) [2 per cell]
Ru (0.259, 0.000, 0.791) [2 per cell]
Pb (0.259, 0.500, 0.287) [2 per cell]

total energy = -57.44 eV per cell
mass density = 11.97 g/cm3
DOS at the Fermi energy = 1.15 states/eV/atom
formation energy from the elements = 500.1 meV per atom



# SrSn3I8

A relaxed structure of SrSn3I8 (PBE, Alexandria via LeMat-Bulk).

abc: 19.747 6.445 10.445
angles: 90.00 109.03 90.00
Space group Cm (No. 8)
Unique sites:
Sr (0.000, 0.000, 0.000) [2 per cell]
Sn (0.104, 0.000, 0.601) [2 per cell]
Sn (0.316, 0.000, 0.984) [2 per cell]
Sn (0.427, 0.000, 0.601) [2 per cell]
I (0.082, 0.500, 0.598) [2 per cell]
I (0.101, 0.000, 0.310) [2 per cell]
I (0.153, 0.000, 0.935) [2 per cell]
I (0.268, 0.000, 0.669) [2 per cell]
I (0.333, 0.500, 0.997) [2 per cell]
I (0.354, 0.000, 0.311) [2 per cell]
I (0.438, 0.500, 0.650) [2 per cell]
I (0.481, 0.000, 0.968) [2 per cell]

total energy = -70.11 eV per cell
mass density = 3.86 g/cm3
energy relative to the elements, uncorrected = -72.1 kJ per mole of atoms



# AcIn2Cu

A relaxed structure of AcIn2Cu (PBE, Alexandria via LeMat-Bulk).

abc: 4.5723 4.5723 18.0506
angles: 90.00 90.00 120.00
Space group R-3m (No. 166, hexagonal axes)
Unique sites:
Ac (0.0000, 0.0000, 0.0000) [3 per cell]
In (0.0000, 0.0000, 0.2118) [6 per cell]
Cu (0.0000, 0.0000, 0.5000) [3 per cell]

total energy = -44.34 eV per cell
distance to the lowest polymorph of the same formula = 72 meV per atom
mass density = 7.93 g/cm3
DOS at the Fermi energy = 0.57 states/eV/atom
formation energy from the elements = -275.0 meV per atom



# PuThAs2

A relaxed structure of PuThAs2 (PBE, Alexandria via LeMat-Bulk).

abc: 5.960 5.960 11.909
angles: 90.00 90.00 90.00
Space group I4_1/amd (No. 141, origin choice 2)
Unique sites:
Pu (0.000, 0.250, 0.375) [4 per cell]
Th (0.000, 0.250, 0.875) [4 per cell]
As (0.000, 0.250, 0.128) [8 per cell]

total energy = -144.00 eV per cell
distance to the lowest polymorph of the same formula = 9 meV per atom
mass density = 9.83 g/cm3
DOS at the Fermi energy = 3.02 states/eV/atom
formation energy from the elements = -1237.4 meV per atom



# LiTlZn2Br6

A relaxed structure of LiTlZn2Br6 (PBE, Alexandria via LeMat-Bulk).

abc: 14.033 14.003 7.571
angles: 90.00 109.80 90.00
Space group C2/c (No. 15)
Unique sites:
Li (0.000, 0.218, 0.250) [4 per cell]
Tl (0.000, 0.123, 0.750) [4 per cell]
Zn (0.194, 0.426, 0.693) [8 per cell]
Br (0.121, 0.081, 0.197) [8 per cell]
Br (0.121, 0.273, 0.565) [8 per cell]
Br (0.136, 0.442, 0.971) [8 per cell]

total energy = -106.76 eV per cell
mass density = 3.90 g/cm3
DOS at the Fermi energy = 0.00 states/eV/atom
energy relative to the elements, uncorrected = -94.8 kJ per mole of atoms



# KHf3Be

A relaxed structure of KHf3Be (PBE, Alexandria via LeMat-Bulk).

abc: 4.822 4.822 4.822
angles: 90.00 90.00 90.00
Space group Pm-3m (No. 221)
Unique sites:
K (0.000, 0.000, 0.000) [1 per cell]
Hf (0.000, 0.000, 0.500) [3 per cell]
Be (0.500, 0.500, 0.500) [1 per cell]

total energy = -22.33 eV per cell
distance to the lowest polymorph of the same formula = 1537 meV per atom
mass density = 8.64 g/cm3
DOS at the Fermi energy = 1.65 states/eV/atom
formation energy from the elements = 2470.6 meV per atom



# CsTc3Pd

A relaxed structure of CsTc3Pd (PBE, Alexandria via LeMat-Bulk).

abc: 4.832 4.832 4.832
angles: 90.00 90.00 90.00
Space group Pm-3m (No. 221)
Unique sites:
Cs (0.000, 0.000, 0.000) [1 per cell]
Tc (0.000, 0.000, 0.500) [3 per cell]
Pd (0.500, 0.500, 0.500) [1 per cell]

total energy = -21.26 eV per cell
distance to the lowest polymorph of the same formula = 1100 meV per atom
mass density = 7.85 g/cm3
DOS at the Fermi energy = 2.23 states/eV/atom
formation energy from the elements = 3176.8 meV per atom



# CoSb2Pt

A relaxed structure of CoSb2Pt (PBE, Alexandria via LeMat-Bulk).

abc: 3.976 3.976 9.472
angles: 90.00 90.00 90.00
Space group I-4m2 (No. 119)
Unique sites:
Co (0.000, 0.000, 0.000) [2 per cell]
Sb (0.000, 0.000, 0.500) [2 per cell]
Sb (0.000, 0.500, 0.250) [2 per cell]
Pt (0.000, 0.500, 0.750) [2 per cell]

total energy = -41.09 eV per cell
distance to the lowest polymorph of the same formula = 346 meV per atom
mass density = 11.03 g/cm3
DOS at the Fermi energy = 0.97 states/eV/atom
energy relative to the elements, uncorrected = 20.4 kJ per mole of atoms



# AcPaRh

A relaxed structure of AcPaRh (PBE, Alexandria via LeMat-Bulk).

abc: 3.652 3.652 12.189
angles: 90.00 90.00 90.00
Space group I4mm (No. 107)
Unique sites:
Ac (0.000, 0.000, 0.000) [2 per cell]
Pa (0.000, 0.000, 0.292) [2 per cell]
Rh (0.000, 0.000, 0.708) [2 per cell]

total energy = -44.02 eV per cell
distance to the lowest polymorph of the same formula = 56 meV per atom
mass density = 11.46 g/cm3
DOS at the Fermi energy = 1.35 states/eV/atom
formation energy from the elements = -352.1 meV per atom